Record 1
Density functional theory data (PBE-GGA) for an optimized crystal structure of Tl2SnPb.

## Properties
ΔE to the lowest computed polymorph	346	meV per atom
DFT total energy	-22.1	eV for the cell shown
D(E_F)	6.557	states/eV/cell
crystal system	tetragonal
energy relative to the elements	345	meV per atom

```
Tl2SnPb
1.0
-4.927 5.218 0.574
-3.905 -3.117 -5.183
-7.451 -2.287 1.988
Pb Tl Sn
2 4 2
Cartesian
0.000 0.000 0.000
-8.397 1.991 0.128
-5.369 2.235 0.200
-4.980 -1.803 -2.664
-8.948 -0.966 -0.302
-13.267 0.162 -2.478
-4.416 1.051 -2.305
-7.886 -2.177 -2.750
```

=====

Record 2
Density functional theory data (PBE-GGA) for an optimized crystal structure of Y3BTe.

## Properties
ΔE to the lowest computed polymorph	0	meV per atom
DFT total energy	-64.6	eV for the cell shown
D(E_F)	7.815	states/eV/cell
crystal system	triclinic
uncorrected formation energy	-59.3	kJ/mol of atoms

```
Y3BTe
1.0
-0.396 2.976 -2.084
-7.604 -2.903 0.502
-1.260 4.620 6.836
Y B Te
6 2 2
Cartesian
-1.708 1.647 2.782
-7.573 1.813 4.132
-3.407 4.511 3.990
-0.408 2.960 -1.998
-5.842 3.675 6.463
-5.138 2.648 1.659
-5.033 2.321 4.378
-5.947 4.003 3.744
-6.956 0.071 1.528
-2.764 1.633 -0.242
```

=====

Record 3
Density functional theory data (PBE-GGA) for an optimized crystal structure of SbTe2OsN.

## Properties
ΔE to the lowest computed polymorph	861	meV per atom
DFT total energy	-24.0	eV for the cell shown
D(E_F)	2.256	states/eV/cell
crystal system	tetragonal
uncorrected formation energy	114.9	kJ/mol of atoms

```
SbTe2OsN
1.0
4.600 0.000 0.000
0.000 4.600 0.000
0.000 0.000 4.584
Sb Te Os N
1 2 1 1
Cartesian
0.000 0.000 2.292
0.000 2.300 0.000
2.300 0.000 0.000
2.300 2.300 2.292
0.000 0.000 0.000
```

=====

Record 4
Density functional theory data (PBE-GGA) for an optimized crystal structure of ZnFeSi2As.

## Properties
DFT total energy	-19.7	eV for the cell shown
D(E_F)	4.017	states/eV/cell
crystal system	tetragonal
uncorrected formation energy	107.5	kJ/mol of atoms

```
ZnFeSi2As
1.0
4.824 0.000 0.000
0.000 4.311 0.000
0.000 0.000 4.824
As Si Zn Fe
1 2 1 1
Cartesian
0.000 0.000 0.000
0.000 0.000 2.412
2.412 0.000 0.000
2.412 2.156 2.412
0.000 2.156 0.000
```

=====

Record 5
Density functional theory data (PBE-GGA) for an optimized crystal structure of Dy3NpAg3Se8.

## Properties
DFT total energy	-80.3	eV for the cell shown
D(E_F)	4.974	states/eV/cell
crystal system	monoclinic
uncorrected formation energy	-109.8	kJ/mol of atoms

```
Dy3NpAg3Se8
1.0
8.347 0.000 0.000
-4.173 7.227 -0.035
0.000 -4.809 6.457
Dy Np Ag Se
3 1 3 8
Cartesian
4.173 -2.404 3.229
2.087 1.209 3.211
-2.087 1.209 3.211
0.000 -2.404 3.229
0.000 0.000 0.000
-2.087 3.613 -0.018
2.087 3.613 -0.018
0.000 2.406 1.614
4.173 0.012 4.808
4.173 2.419 1.649
0.000 -0.001 4.773
6.271 -1.214 1.666
-2.098 3.632 4.756
2.075 -1.214 1.666
2.098 3.632 4.756
```

=====

Record 6
Density functional theory data (PBE-GGA) for an optimized crystal structure of PrNd2Dy3Bi6.

## Properties
DFT total energy	-62.3	eV for the cell shown
D(E_F)	2.021	states/eV/cell
crystal system	monoclinic
energy relative to the elements	-904	meV per atom

```
PrNd2Dy3Bi6
1.0
4.551 0.000 0.000
0.000 9.086 0.336
-2.275 -2.606 9.558
Pr Nd Dy Bi
1 2 3 6
Cartesian
2.275 0.000 0.000
2.275 4.323 6.593
0.000 2.157 3.301
2.275 4.543 0.168
2.275 -0.219 6.433
0.000 6.699 3.461
0.000 6.650 6.633
2.275 4.483 3.345
2.275 -0.170 3.261
2.275 -0.267 9.609
0.000 6.747 0.284
0.000 1.997 6.549
```

=====

Record 7
Density functional theory data (PBE-GGA) for an optimized crystal structure of BaPmPt10.

## Properties
DFT total energy	-74.4	eV for the cell shown
D(E_F)	7.375	states/eV/cell
crystal system	orthorhombic
energy relative to the elements	-608	meV per atom

```
BaPmPt10
1.0
4.401 0.000 0.000
0.000 5.526 0.000
0.000 0.000 9.532
Ba Pm Pt
1 1 10
Cartesian
0.000 0.000 0.000
0.000 2.763 4.766
0.000 0.000 3.238
0.000 2.763 7.860
0.000 2.763 1.673
0.000 0.000 6.294
2.201 0.000 4.766
2.201 2.763 0.000
2.201 1.403 2.458
2.201 4.122 7.074
2.201 4.122 2.458
2.201 1.403 7.074
```

=====

Record 8
Density functional theory data (PBE-GGA) for an optimized crystal structure of Cs8SBr3Cl3.

## Properties
DFT total energy	-46.9	eV for the cell shown
D(E_F)	0.000	states/eV/cell
crystal system	trigonal
uncorrected formation energy	-163.0	kJ/mol of atoms

```
Cs8SBr3Cl3
1.0
-1.622 -7.247 7.003
4.889 -2.278 -8.665
4.709 5.840 7.134
Cs S Br Cl
8 1 3 3
Cartesian
3.301 -1.469 -0.756
4.675 -2.216 6.229
2.715 -5.198 2.689
5.260 1.513 2.784
0.100 -3.978 7.327
7.876 0.293 -1.854
0.968 -0.100 3.579
7.008 -3.586 1.894
2.355 2.920 3.567
0.000 0.000 0.000
2.444 -1.139 -4.332
1.633 -4.763 -0.831
1.543 -0.704 7.069
3.988 -1.843 2.736
4.799 1.781 -0.765
```

=====

Record 9
Density functional theory data (PBE-GGA) for an optimized crystal structure of Tl2Fe2Br7.

## Properties
DFT total energy	-40.0	eV for the cell shown
D(E_F)	6.788	states/eV/cell
crystal system	monoclinic
uncorrected formation energy	-58.4	kJ/mol of atoms

```
Tl2Fe2Br7
1.0
6.849 -0.166 -0.189
-0.664 8.209 -0.385
-0.664 -1.474 8.084
Tl Fe Br
2 2 7
Cartesian
-0.664 1.384 5.584
-0.664 5.350 2.115
2.640 1.447 1.654
2.881 5.122 5.855
4.156 6.423 4.326
1.364 3.136 0.568
1.364 0.146 3.184
4.156 3.433 6.942
3.425 -0.083 -0.095
0.966 4.194 4.794
4.554 2.375 2.715
```

=====

Record 10
Density functional theory data (PBE-GGA) for an optimized crystal structure of CeTh6N8.

## Properties
ΔE to the lowest computed polymorph	118	meV per atom
DFT total energy	-136.6	eV for the cell shown
D(E_F)	9.041	states/eV/cell
crystal system	trigonal
uncorrected formation energy	-125.6	kJ/mol of atoms

```
CeTh6N8
1.0
-4.378 4.052 4.394
-1.253 -2.148 6.979
2.344 3.438 5.412
Ce Th N
1 6 8
Cartesian
0.000 0.000 0.000
-0.473 4.360 6.621
-3.835 4.030 7.549
-1.327 0.978 6.295
-1.961 4.363 10.489
0.548 1.311 9.236
-2.814 0.981 10.164
-2.357 3.199 5.623
-2.057 5.544 8.213
0.749 2.115 6.836
-1.657 4.544 12.899
-1.631 0.798 3.886
-4.037 3.227 9.949
-1.231 -0.202 8.572
-0.930 2.143 11.162
```

=====

Record 11
Density functional theory data (PBE-GGA) for an optimized crystal structure of InGaBr2.

## Properties
ΔE to the lowest computed polymorph	187	meV per atom
DFT total energy	-10.7	eV for the cell shown
crystal system	trigonal
uncorrected formation energy	-39.5	kJ/mol of atoms

```
InGaBr2
1.0
4.698 0.000 0.000
2.349 4.069 0.000
2.349 1.356 9.334
Ga Br In
1 2 1
Cartesian
0.000 0.000 0.000
2.349 1.356 6.563
7.047 4.069 2.771
4.698 2.712 4.667
```

=====

Record 12
Density functional theory data (PBE-GGA) for an optimized crystal structure of TbPr4SmDy2.

## Properties
DFT total energy	-37.6	eV for the cell shown
D(E_F)	10.585	states/eV/cell
crystal system	monoclinic
energy relative to the elements	15	meV per atom

```
TbPr4SmDy2
1.0
-0.967 3.569 -3.645
0.038 -3.682 -3.616
-9.963 -5.070 -2.323
Tb Pr Sm Dy
1 4 1 2
Cartesian
-4.963 -4.376 -2.969
-7.437 -6.564 -4.455
-3.455 1.381 -5.128
-2.958 -2.245 -5.113
-7.934 -2.938 -4.471
-10.428 -5.126 -5.953
-9.963 -5.070 -2.323
-5.465 -0.750 -2.984
```

=====

> What is the DFT total energy in the ninth record?

-40.0 eV for the cell shown

=====

> Which value of DFT total energy does entry 4 give?

-19.7 eV for the cell shown

=====

> Which value of DFT total energy does entry 1 give?

-22.1 eV for the cell shown